Here is a relaxed structure of CeInFe from Alexandria. Energies are from PBE-GGA.

Geometry as CIF:
```
data_CeInFe
_chemical_formula_sum 'Ce3 In3 Fe3'
_cell_length_a 5.845
_cell_length_b 5.845
_cell_length_c 6.625
_cell_angle_alpha 90.00
_cell_angle_beta 90.00
_cell_angle_gamma 120.00
_space_group_name_H-M_alt 'P 1'
_space_group_IT_number 1
_space_group_name_Hall 'P 1'
loop_
_atom_site_label
_atom_site_type_symbol
_atom_site_fract_x
_atom_site_fract_y
_atom_site_fract_z
Ce1 Ce 0.085 0.749 0.000
Ce2 Ce 0.251 0.336 0.667
Ce3 Ce 0.664 0.915 0.333
In1 In 0.005 0.672 0.501
In2 In 0.328 0.332 0.167
In3 In 0.668 0.995 0.834
Fe1 Fe 0.479 0.201 0.532
Fe2 Fe 0.722 0.521 0.865
Fe3 Fe 0.799 0.278 0.198
```

Values from the calculation:
- DOS(E_F): 3.34 states/eV/f.u.
- ΔE_f: -0.083 eV/atom
- Total magnetization: 0.000 μB per atom
- Crystal system: trigonal

Here is a relaxed structure of Ce2InFe from Alexandria. Energies are from PBE-GGA.

Geometry as CIF:
```
data_Ce2InFe
_chemical_formula_sum 'Ce2 In1 Fe1'
_cell_length_a 3.179
_cell_length_b 3.179
_cell_length_c 8.801
_cell_angle_alpha 90.00
_cell_angle_beta 90.00
_cell_angle_gamma 90.00
_space_group_name_H-M_alt 'P 1'
_space_group_IT_number 1
_space_group_name_Hall 'P 1'
loop_
_atom_site_label
_atom_site_type_symbol
_atom_site_fract_x
_atom_site_fract_y
_atom_site_fract_z
Ce1 Ce 0.000 0.000 0.201
Ce2 Ce 0.000 0.000 0.799
In1 In 0.500 0.500 0.500
Fe1 Fe 0.500 0.500 0.000
```

Values from the calculation:
- Distance to the lowest polymorph of the same formula: 34 meV per atom
- DOS(E_F): 5.61 states/eV/f.u.
- ΔE_f: -0.158 eV/atom
- Total magnetization: 0.099 μB per atom
- Crystal system: tetragonal

Here is a relaxed structure of Ce2InFe from Alexandria. Energies are from PBE-GGA.

Geometry as CIF:
```
data_Ce2InFe
_chemical_formula_sum 'Ce8 In4 Fe4'
_cell_length_a 8.799
_cell_length_b 6.352
_cell_length_c 6.928
_cell_angle_alpha 90.00
_cell_angle_beta 94.53
_cell_angle_gamma 90.00
_space_group_name_H-M_alt 'P 1'
_space_group_IT_number 1
_space_group_name_Hall 'P 1'
loop_
_atom_site_label
_atom_site_type_symbol
_atom_site_fract_x
_atom_site_fract_y
_atom_site_fract_z
Ce1 Ce 0.073 0.106 0.296
Ce2 Ce 0.073 0.394 0.796
Ce3 Ce 0.323 0.656 0.154
Ce4 Ce 0.323 0.844 0.654
Ce5 Ce 0.677 0.156 0.346
Ce6 Ce 0.677 0.344 0.846
Ce7 Ce 0.927 0.606 0.204
Ce8 Ce 0.927 0.894 0.704
In1 In 0.366 0.162 0.033
In2 In 0.366 0.338 0.533
In3 In 0.634 0.662 0.467
In4 In 0.634 0.838 0.967
Fe1 Fe 0.115 0.610 0.425
Fe2 Fe 0.115 0.890 0.925
Fe3 Fe 0.885 0.110 0.075
Fe4 Fe 0.885 0.390 0.575
```

Values from the calculation:
- Distance to the lowest polymorph of the same formula: 0 meV per atom
- DOS(E_F): 7.17 states/eV/f.u.
- ΔE_f: -0.192 eV/atom
- Total magnetization: 0.146 μB per atom
- Crystal system: monoclinic

Here is a relaxed structure of Ce4InFe from Alexandria. Energies are from PBE-GGA.

Geometry as CIF:
```
data_Ce4InFe
_chemical_formula_sum 'Ce8 In2 Fe2'
_cell_length_a 8.071
_cell_length_b 8.071
_cell_length_c 5.846
_cell_angle_alpha 100.12
_cell_angle_beta 100.12
_cell_angle_gamma 122.18
_space_group_name_H-M_alt 'P 1'
_space_group_IT_number 1
_space_group_name_Hall 'P 1'
loop_
_atom_site_label
_atom_site_type_symbol
_atom_site_fract_x
_atom_site_fract_y
_atom_site_fract_z
Ce1 Ce 0.123 0.745 0.939
Ce2 Ce 0.180 0.337 0.647
Ce3 Ce 0.255 0.877 0.561
Ce4 Ce 0.337 0.180 0.147
Ce5 Ce 0.663 0.820 0.853
Ce6 Ce 0.745 0.123 0.439
Ce7 Ce 0.820 0.663 0.353
Ce8 Ce 0.877 0.255 0.061
In1 In 0.385 0.615 0.250
In2 In 0.615 0.385 0.750
Fe1 Fe 0.016 0.984 0.250
Fe2 Fe 0.984 0.016 0.750
```

Values from the calculation:
- Distance to the lowest polymorph of the same formula: 37 meV per atom
- DOS(E_F): 13.66 states/eV/f.u.
- ΔE_f: -0.113 eV/atom
- Total magnetization: 0.168 μB per atom
- Crystal system: monoclinic

Here is a relaxed structure of Ce6In2FeTc from Alexandria. Energies are from PBE-GGA.

Geometry as CIF:
```
data_Ce6In2FeTc
_chemical_formula_sum 'Ce6 In2 Fe1 Tc1'
_cell_length_a 7.377
_cell_length_b 7.377
_cell_length_c 7.377
_cell_angle_alpha 121.17
_cell_angle_beta 121.17
_cell_angle_gamma 87.99
_space_group_name_H-M_alt 'P 1'
_space_group_IT_number 1
_space_group_name_Hall 'P 1'
loop_
_atom_site_label
_atom_site_type_symbol
_atom_site_fract_x
_atom_site_fract_y
_atom_site_fract_z
Ce1 Ce 0.000 0.000 0.000
Ce2 Ce 0.004 0.004 0.517
Ce3 Ce 0.004 0.487 0.000
Ce4 Ce 0.487 0.004 0.000
Ce5 Ce 0.487 0.487 0.483
Ce6 Ce 0.498 0.498 0.000
In1 In 0.498 0.998 0.500
In2 In 0.998 0.498 0.500
Fe1 Fe 0.242 0.242 0.000
Tc1 Tc 0.771 0.771 0.000
```

Values from the calculation:
- DOS(E_F): 24.46 states/eV/f.u.
- ΔE_f: -0.168 eV/atom
- Total magnetization: 0.231 μB per atom
- Crystal system: tetragonal

Here is a relaxed structure of Ce3ThInFe from Alexandria. Energies are from PBE-GGA.

Geometry as CIF:
```
data_Ce3ThInFe
_chemical_formula_sum 'Ce6 Th2 In2 Fe2'
_cell_length_a 6.778
_cell_length_b 6.778
_cell_length_c 7.621
_cell_angle_alpha 96.11
_cell_angle_beta 96.11
_cell_angle_gamma 61.81
_space_group_name_H-M_alt 'P 1'
_space_group_IT_number 1
_space_group_name_Hall 'P 1'
loop_
_atom_site_label
_atom_site_type_symbol
_atom_site_fract_x
_atom_site_fract_y
_atom_site_fract_z
Ce1 Ce 0.120 0.626 0.568
Ce2 Ce 0.271 0.271 0.216
Ce3 Ce 0.374 0.880 0.432
Ce4 Ce 0.626 0.120 0.568
Ce5 Ce 0.729 0.729 0.784
Ce6 Ce 0.880 0.374 0.432
Th1 Th 0.244 0.756 0.000
Th2 Th 0.756 0.244 0.000
In1 In 0.203 0.203 0.800
In2 In 0.797 0.797 0.200
Fe1 Fe 0.459 0.459 0.300
Fe2 Fe 0.541 0.541 0.700
```

Values from the calculation:
- DOS(E_F): 10.78 states/eV/f.u.
- ΔE_f: -0.068 eV/atom
- Total magnetization: 0.000 μB per atom
- Crystal system: monoclinic

Here is a relaxed structure of CeTh5In2Fe from Alexandria. Energies are from PBE-GGA.

Geometry as CIF:
```
data_CeTh5In2Fe
_chemical_formula_sum 'Ce2 Th10 In4 Fe2'
_cell_length_a 9.575
_cell_length_b 9.575
_cell_length_c 12.561
_cell_angle_alpha 90.00
_cell_angle_beta 90.00
_cell_angle_gamma 153.06
_space_group_name_H-M_alt 'P 1'
_space_group_IT_number 1
_space_group_name_Hall 'P 1'
loop_
_atom_site_label
_atom_site_type_symbol
_atom_site_fract_x
_atom_site_fract_y
_atom_site_fract_z
Ce1 Ce 0.063 0.937 0.500
Ce2 Ce 0.937 0.063 0.000
Th1 Th 0.009 0.991 0.284
Th2 Th 0.153 0.847 0.122
Th3 Th 0.200 0.800 0.737
Th4 Th 0.239 0.761 0.454
Th5 Th 0.427 0.573 0.156
Th6 Th 0.573 0.427 0.656
Th7 Th 0.761 0.239 0.954
Th8 Th 0.800 0.200 0.237
Th9 Th 0.847 0.153 0.622
Th10 Th 0.991 0.009 0.784
In1 In 0.367 0.633 0.832
In2 In 0.418 0.582 0.435
In3 In 0.582 0.418 0.935
In4 In 0.633 0.367 0.332
Fe1 Fe 0.295 0.705 0.083
Fe2 Fe 0.705 0.295 0.583
```

Values from the calculation:
- DOS(E_F): 12.54 states/eV/f.u.
- ΔE_f: 0.069 eV/atom
- Total magnetization: 0.032 μB per atom
- Crystal system: orthorhombic

Here is a relaxed structure of Ce2FeIr3 from Alexandria. Energies are from PBE-GGA.

Geometry as CIF:
```
data_Ce2FeIr3
_chemical_formula_sum 'Ce2 Fe1 Ir3'
_cell_length_a 5.168
_cell_length_b 5.168
_cell_length_c 5.168
_cell_angle_alpha 64.58
_cell_angle_beta 64.58
_cell_angle_gamma 64.58
_space_group_name_H-M_alt 'P 1'
_space_group_IT_number 1
_space_group_name_Hall 'P 1'
loop_
_atom_site_label
_atom_site_type_symbol
_atom_site_fract_x
_atom_site_fract_y
_atom_site_fract_z
Ce1 Ce 0.124 0.124 0.124
Ce2 Ce 0.876 0.876 0.876
Fe1 Fe 0.500 0.500 0.500
Ir1 Ir 0.000 0.500 0.500
Ir2 Ir 0.500 0.000 0.500
Ir3 Ir 0.500 0.500 0.000
```

Values from the calculation:
- DOS(E_F): 7.31 states/eV/f.u.
- ΔE_f: -0.678 eV/atom
- Total magnetization: 0.343 μB per atom
- Crystal system: trigonal